# Sc4Cd3 (PBE, optimized geometry)
# Offset from the most stable computed form, meV/atom: 77
# Total moment, μB/cell: 0.246
data_Sc4Cd3
_space_group_name_H-M_alt 'P 6/m m m'
_space_group_IT_number 191
_space_group_name_Hall '-P 6 2'
_cell_length_a 5.7160
_cell_length_b 5.7160
_cell_length_c 5.6787
_cell_angle_alpha 90.00
_cell_angle_beta 90.00
_cell_angle_gamma 120.00
loop_
_atom_site_label
_atom_site_type_symbol
_atom_site_fract_x
_atom_site_fract_y
_atom_site_fract_z
_atom_site_occupancy
Sc1 Sc 0.0000 0.0000 0.2450 1
Sc2 Sc 0.3333 0.6667 0.0000 1
Cd1 Cd 0.0000 0.5000 0.5000 1